# 1
Material: Ac2NpAs2O2
Method: DFT, PBE-GGA
State: relaxed

Results
space group = I4/mmm (139)
crystal system = tetragonal
ΔE_f (raw) = -2.031 eV per atom

The structure in extended XYZ format:
```
7
Lattice="-2.224 2.224 8.353 2.224 -2.224 8.353 2.224 2.224 -8.353" Properties=species:S:1:pos:R:3 pbc="T T T"
Ac 0.000 0.000 2.361
Ac 0.000 0.000 14.345
Np 0.000 0.000 8.353
As 0.000 0.000 5.477
As 0.000 0.000 11.229
O 2.224 0.000 0.000
O 0.000 2.224 0.000
```



# 2
Material: Ac2NpAs3Pd4
Method: DFT, PBE-GGA
State: relaxed

Results
calculated formation energy = -0.79 eV/atom
space group = P-4m2 (115)
crystal system = tetragonal

The structure in extended XYZ format:
```
10
Lattice="4.394 0.000 0.000 0.000 4.394 0.000 0.000 0.000 11.504" Properties=species:S:1:pos:R:3 pbc="T T T"
Ac 0.000 2.197 2.521
Ac 2.197 0.000 8.984
Np 0.000 0.000 5.752
As 0.000 2.197 10.078
As 2.197 0.000 1.427
As 2.197 2.197 5.752
Pd 0.000 0.000 0.000
Pd 0.000 2.197 7.555
Pd 2.197 0.000 3.949
Pd 2.197 2.197 0.000
```



# 3
Material: AcNpAs2Pd2
Method: DFT, PBE-GGA
State: relaxed

Results
calculated formation energy = -0.89 eV/atom
space group = P-3m1 (164)
crystal system = trigonal

The structure in extended XYZ format:
```
6
Lattice="4.423 0.000 0.000 -2.211 3.830 0.000 0.000 0.000 7.946" Properties=species:S:1:pos:R:3 pbc="T T T"
Ac 0.000 0.000 0.000
Np 0.000 0.000 3.973
As 0.000 2.553 2.192
As 2.211 1.277 5.754
Pd 0.000 2.553 5.834
Pd 2.211 1.277 2.112
```



# 4
Material: AcNp2As4Pd
Method: DFT, PBE-GGA
State: relaxed

Results
calculated formation energy = -0.76 eV/atom
space group = Cmcm (63)
crystal system = orthorhombic

The structure in extended XYZ format:
```
16
Lattice="2.092 -6.860 0.000 2.092 6.860 0.000 0.000 0.000 13.948" Properties=species:S:1:pos:R:3 pbc="T T T"
Ac 2.092 5.257 10.461
Ac 2.092 -5.257 3.487
Np 2.092 1.775 7.822
Np 2.092 1.775 13.099
Np 2.092 -1.775 0.848
Np 2.092 -1.775 6.125
As 0.000 0.000 0.000
As 0.000 0.000 6.974
As 2.092 3.213 1.547
As 2.092 3.213 5.427
As 2.092 0.722 10.461
As 2.092 -0.722 3.487
As 2.092 -3.213 8.521
As 2.092 -3.213 12.401
Pd 2.092 4.788 3.487
Pd 2.092 -4.788 10.461
```



# 5
Material: Ac2NpAs3Pt4
Method: DFT, PBE-GGA
State: relaxed

Results
calculated formation energy = -0.81 eV/atom
space group = P-4m2 (115)
crystal system = tetragonal

The structure in extended XYZ format:
```
10
Lattice="4.412 0.000 0.000 0.000 4.412 0.000 0.000 0.000 11.417" Properties=species:S:1:pos:R:3 pbc="T T T"
Ac 0.000 2.206 2.565
Ac 2.206 0.000 8.852
Np 0.000 0.000 5.708
As 0.000 2.206 10.046
As 2.206 0.000 1.370
As 2.206 2.206 5.708
Pt 0.000 0.000 0.000
Pt 0.000 2.206 7.533
Pt 2.206 0.000 3.884
Pt 2.206 2.206 0.000
```



# 6
Material: AcNpAs2Rh5
Method: DFT, PBE-GGA
State: relaxed

Results
calculated formation energy = 0.01 eV/atom
space group = P4/mmm (123)
crystal system = tetragonal

The structure in extended XYZ format:
```
9
Lattice="4.133 0.000 0.000 0.000 4.133 0.000 0.000 0.000 12.590" Properties=species:S:1:pos:R:3 pbc="T T T"
Ac 0.000 0.000 0.000
Np 2.066 2.066 6.295
As 2.066 2.066 3.461
As 2.066 2.066 9.129
Rh 0.000 2.066 2.248
Rh 0.000 2.066 10.342
Rh 2.066 0.000 2.248
Rh 2.066 0.000 10.342
Rh 2.066 2.066 0.000
```



# 7
Material: Ac2NpAs3Rh12
Method: DFT, PBE-GGA
State: relaxed

Results
calculated formation energy = -0.15 eV/atom
space group = R-3m (166)
crystal system = trigonal

The structure in extended XYZ format:
```
18
Lattice="4.092 2.363 6.294 -4.092 2.363 6.294 0.000 -4.726 6.294" Properties=species:S:1:pos:R:3 pbc="T T T"
Ac 0.000 0.000 2.025
Ac 0.000 0.000 16.858
Np 0.000 0.000 9.441
As -2.046 -1.181 6.294
As -2.046 1.181 12.589
As 0.000 2.363 6.294
Rh -2.043 -1.179 8.702
Rh 0.000 -2.159 5.588
Rh -1.870 1.079 5.588
Rh 0.000 -2.359 10.181
Rh -2.043 1.179 10.181
Rh -1.870 -1.079 13.295
Rh 1.870 1.079 5.588
Rh 2.043 -1.179 8.702
Rh 0.000 2.359 8.702
Rh 1.870 -1.079 13.295
Rh 0.000 2.159 13.295
Rh 2.043 1.179 10.181
```



# 8
Material: Sr3Ac2NpAs6
Method: DFT, PBE-GGA
State: relaxed

Results
calculated formation energy = -1.12 eV/atom
space group = C2/m (12)
crystal system = monoclinic

The structure in extended XYZ format:
```
12
Lattice="3.851 -6.665 0.000 3.851 6.665 0.000 -2.595 0.000 7.231" Properties=species:S:1:pos:R:3 pbc="T T T"
Sr 0.000 0.000 0.000
Sr 3.851 2.271 0.000
Sr 3.851 -2.271 0.000
Ac 2.554 4.449 3.615
Ac 2.554 -4.449 3.615
Np 2.554 0.000 3.615
As 1.394 2.022 1.961
As 0.243 0.000 5.242
As 1.394 -2.022 1.961
As 3.714 2.022 5.269
As 4.865 0.000 1.989
As 3.714 -2.022 5.269
```